1.
The following is a GGA-PBE calculation of a relaxed TlAg2Sb crystal, from Alexandria via LeMat-Bulk.

a b c (Å): 4.2236 4.2236 11.0818
angles (deg): 90.00 90.00 90.00
Fractional positions:
1 Tl 0.2500 0.2500 0.2052
2 Tl 0.7500 0.7500 0.7948
3 Ag 0.2500 0.2500 0.9455
4 Ag 0.2500 0.7500 0.5000
5 Ag 0.7500 0.2500 0.5000
6 Ag 0.7500 0.7500 0.0545
7 Sb 0.2500 0.2500 0.6787
8 Sb 0.7500 0.7500 0.3213

Output
**Uncorrected formation energy**: 14 kJ per mole of atoms
**E_tot**: -2.906 eV per atom


2.
The following is a GGA-PBE calculation of a relaxed La2TeRu2 crystal, from Alexandria via LeMat-Bulk.

a b c (Å): 5.6565 5.6565 5.6565
angles (deg): 120.09 120.09 89.85
Fractional positions:
1 La 0.2500 0.7500 0.5000
2 La 0.7500 0.2500 0.5000
3 Te 0.0000 0.0000 0.0000
4 Ru 0.3447 0.3447 0.0000
5 Ru 0.6553 0.6553 0.0000

Output
**Distance to the lowest polymorph of the same formula**: 189 meV/atom
**Uncorrected formation energy**: -24 kJ per mole of atoms
**E_tot**: -6.562 eV per atom


3.
The following is a GGA-PBE calculation of a relaxed NaTa2ZnN crystal, from Alexandria via LeMat-Bulk.

a b c (Å): 4.7215 4.7215 4.7365
angles (deg): 90.00 90.00 90.00
Fractional positions:
1 Na 0.0000 0.0000 0.0000
2 Ta 0.0000 0.5000 0.5000
3 Ta 0.5000 0.0000 0.5000
4 Zn 0.0000 0.0000 0.5000
5 N 0.5000 0.5000 0.0000

Output
**Uncorrected formation energy**: 225 kJ per mole of atoms
**E_tot**: -4.590 eV per atom


4.
The following is a GGA-PBE calculation of a relaxed LiTlB2Br8 crystal, from Alexandria via LeMat-Bulk.

a b c (Å): 10.2676 10.2676 10.2676
angles (deg): 36.57 36.57 36.57
Fractional positions:
1 Li 0.0000 0.0000 0.0000
2 Tl 0.5000 0.5000 0.5000
3 B 0.2510 0.2510 0.2510
4 B 0.7490 0.7490 0.7490
5 Br 0.0301 0.4293 0.7205
6 Br 0.1804 0.1804 0.1804
7 Br 0.2795 0.9699 0.5707
8 Br 0.4293 0.7205 0.0301
9 Br 0.5707 0.2795 0.9699
10 Br 0.7205 0.0301 0.4293
11 Br 0.8196 0.8196 0.8196
12 Br 0.9699 0.5707 0.2795

Output
**Uncorrected formation energy**: -67 kJ per mole of atoms
**E_tot**: -3.275 eV per atom